The following is a PBE calculation of crystalline Li2Ga2Te at its relaxed geometry, from Alexandria.

a = 7.3379 Å, b = 7.3379 Å, c = 3.9558 Å
α = 90.00°, β = 90.00°, γ = 90.00°
Closest atoms and distances in Å follow each position.
Fractional coordinates of all 10 atoms:
Li 0.3260 0.1740 0.5000  6 Ga 2.88-2.97
Li 0.8260 0.3260 0.5000  6 Ga 2.88-2.97
Li 0.1740 0.6740 0.5000  6 Ga 2.88-2.97
Li 0.6740 0.8260 0.5000  6 Ga 2.88-2.97
Te 0.0000 0.0000 0.0000  4 Ga 2.91
Te 0.5000 0.5000 0.0000  4 Ga 2.91
Ga 0.8762 0.6238 0.0000  1 Ga 2.57
Ga 0.3762 0.8762 0.0000  1 Ga 2.57
Ga 0.6238 0.1238 0.0000  1 Ga 2.57
Ga 0.1238 0.3762 0.0000  1 Ga 2.57

ΔE_f (raw) = -205 meV per atom


The following is a PBE calculation of crystalline NbAg2Pt at its relaxed geometry, from Alexandria.

a = 7.5708 Å, b = 7.5708 Å, c = 5.9747 Å
α = 50.69°, β = 50.69°, γ = 90.00°
Closest atoms and distances in Å follow each position.
Fractional coordinates of all 8 atoms:
Ag 0.6337 0.1250 0.2500  2 Ag 2.66, 2 Pt 2.71, 2 Nb 2.80
Ag 0.1163 0.6250 0.2500  2 Ag 2.66, 2 Pt 2.71, 2 Nb 2.80
Ag 0.3750 0.3663 0.7500  2 Ag 2.66, 2 Pt 2.71, 2 Nb 2.80
Ag 0.8750 0.8837 0.7500  2 Ag 2.66, 2 Pt 2.71, 2 Nb 2.80
Pt 0.7500 0.2500 0.5000  2 Nb 2.65, 4 Ag 2.71
Pt 0.0000 0.0000 0.0000  2 Nb 2.65, 4 Ag 2.71
Nb 0.2500 0.7500 0.5000  2 Pt 2.65, 4 Ag 2.80
Nb 0.5000 0.5000 0.0000  2 Pt 2.65, 4 Ag 2.80

Energy above the lowest structure with this stoichiometry = 371 meV/atom
ΔH_f (0 K) = 2.3 eV/f.u.


The following is a PBE calculation of crystalline Er3Si4Ru2 at its relaxed geometry, from Alexandria.

a = 4.1730 Å, b = 5.6633 Å, c = 7.9703 Å
α = 107.44°, β = 90.00°, γ = 111.62°
Closest atoms and distances in Å follow each position.
Fractional coordinates of all 9 atoms:
Er 0.6183 0.2367 0.6969  7 Si 2.87-3.05, 4 Ru 3.00-3.09
Er 0.0000 0.0000 0.0000  8 Si 3.04-3.19
Er 0.3817 0.7633 0.3031  7 Si 2.87-3.05, 4 Ru 3.00-3.09
Si 0.7212 0.4425 0.0770  1 Ru 2.39, 2 Si 2.59
Si 0.2788 0.5575 0.9230  1 Ru 2.39, 2 Si 2.59
Si 0.9022 0.8043 0.5895  3 Ru 2.36-2.46
Si 0.0978 0.1957 0.4105  3 Ru 2.36-2.46
Ru 0.3180 0.6360 0.6441  4 Si 2.36-2.46
Ru 0.6820 0.3640 0.3559  4 Si 2.36-2.46

ΔE_f (raw) = -848 meV per atom


The following is a PBE calculation of crystalline PmSm2Fe at its relaxed geometry, from Alexandria.

a = 3.5441 Å, b = 3.5441 Å, c = 10.9866 Å
α = 80.72°, β = 80.72°, γ = 60.00°
Closest atoms and distances in Å follow each position.
Fractional coordinates of all 4 atoms:
Sm 0.1086 0.1086 0.6742  3 Fe 2.78
Sm 0.8914 0.8914 0.3258  3 Fe 2.78
Fe 0.5000 0.5000 0.5000  6 Sm 2.78
Pm 0.0000 0.0000 0.0000  2 Sm 3.52, 6 Pm 3.54

Energy above the lowest structure with this stoichiometry = 216 meV/atom
ΔH_f (0 K) = 1.4 eV/f.u.